#i
Below is a geometry-optimized MgTcTeO structure, with properties calculated at the PBE level.

Cell lengths 3.4120, 3.4120, 7.1422 Å; angles 90.00, 90.00, 120.00 degrees
Element x y z (fractional)
Te: 0.3333 0.6667 0.9467
Mg: 0.3333 0.6667 0.3940
Tc: 0.0000 0.0000 0.7121
O: 0.0000 0.0000 0.4073

- Magnetization: 0.001 μB/f.u.

***

#ii
Below is a geometry-optimized MgTcTeO structure, with properties calculated at the PBE level.

Cell lengths 4.4785, 4.4869, 6.0870 Å; angles 68.41, 68.42, 59.96 degrees
Element x y z (fractional)
O: 0.4311 0.8114 0.7825
Te: 0.9581 0.3356 0.2074
Mg: 0.5489 0.9250 0.4381
Tc: 0.3226 0.7011 0.1120

- Magnetization: 0.000 μB/f.u.

***

Which one sits at the bottom of the stability order? #ii does.

***

#i
Below is a geometry-optimized MgTcTeO structure, with properties calculated at the PBE level.

Cell lengths 3.0925, 3.0925, 6.9567 Å; angles 90.00, 90.00, 90.00 degrees
Each line ends with the local moment (μB).
Element x y z (fractional)
Tc: 0.5000 0.5000 0.7192  0.15
Mg: 0.0000 0.0000 0.4000  0.00
O: 0.5000 0.5000 0.4018  0.01
Te: 0.0000 0.0000 0.9391  -0.01

- Magnetization: 0.167 μB/f.u.

***

#ii
Below is a geometry-optimized MgTcTeO structure, with properties calculated at the PBE level.

Cell lengths 3.4139, 3.4139, 21.3666 Å; angles 90.00, 90.00, 120.00 degrees
Element x y z (fractional)
O: 0.6667 0.3333 0.5927
Te: 0.6667 0.3333 0.1063
Tc: 0.6667 0.3333 0.6946
Tc: 0.3333 0.6667 0.0279
Tc: 0.0000 0.0000 0.3613
O: 0.0000 0.0000 0.2594
Mg: 0.0000 0.0000 0.9209
O: 0.3333 0.6667 0.9261
Mg: 0.6667 0.3333 0.2542
Te: 0.0000 0.0000 0.7730
Te: 0.3333 0.6667 0.4396
Mg: 0.3333 0.6667 0.5875

- Magnetization: 0.000 μB/f.u.

***

Which one sits at the bottom of the stability order? #i does.

***

#i
Below is a geometry-optimized MgTcTeO structure, with properties calculated at the PBE level.

Cell lengths 4.9967, 3.2738, 5.8587 Å; angles 90.00, 97.46, 90.00 degrees
Each line ends with the local moment (μB).
Element x y z (fractional)
Te: 0.9357 0.5000 0.9974  -0.02
Mg: 0.1638 0.5000 0.5077  0.00
Tc: 0.7395 0.0000 0.6814  0.80
O: 0.3942 0.0000 0.5069  0.07

- Magnetization: 0.965 μB/f.u.

***

#ii
Below is a geometry-optimized MgTcTeO structure, with properties calculated at the PBE level.

Cell lengths 3.4082, 3.5526, 12.2805 Å; angles 90.00, 90.00, 90.00 degrees
Each line ends with the local moment (μB).
Element x y z (fractional)
Mg: 0.5000 0.0000 0.1006  0.00
Te: 0.0000 0.5000 0.2637  -0.04
Te: 0.0000 0.0000 0.7637  -0.04
Tc: 0.0000 0.5000 0.9244  1.75
Mg: 0.5000 0.5000 0.6006  0.00
O: 0.0000 0.0000 0.0254  0.08
O: 0.0000 0.5000 0.5254  0.08
Tc: 0.0000 0.0000 0.4244  1.75

- Magnetization: 1.994 μB/f.u.

***

Which one sits at the bottom of the stability order? #ii does.

***

#i
Below is a geometry-optimized Mg3TeO structure, with properties calculated at the PBE level.

Cell lengths 4.5451, 4.5451, 4.5451 Å; angles 90.00, 90.00, 90.00 degrees
Element x y z (fractional)
Te: 0.5000 0.5000 0.5000
Mg: 0.0000 0.5000 0.0000
Mg: 0.0000 0.0000 0.5000
Mg: 0.5000 0.0000 0.0000
O: 0.0000 0.0000 0.0000

- Magnetization: 0.000 μB/f.u.

***

#ii
Below is a geometry-optimized Mg3TeO structure, with properties calculated at the PBE level.

Cell lengths 5.4950, 5.4950, 5.4950 Å; angles 90.00, 90.00, 90.00 degrees
Element x y z (fractional)
Mg: 0.0000 0.5000 0.0000
O: 0.5000 0.5000 0.5000
Mg: 0.5000 0.0000 0.0000
Te: 0.0000 0.0000 0.0000
Mg: 0.0000 0.0000 0.5000

- Magnetization: 0.004 μB/f.u.

***

Which one sits at the bottom of the stability order? #ii does.

***

#i
Below is a geometry-optimized MgTe3O structure, with properties calculated at the PBE level.

Cell lengths 5.2937, 5.2937, 5.2937 Å; angles 90.00, 90.00, 90.00 degrees
Element x y z (fractional)
Te: 0.0000 0.5000 0.0000
Te: 0.0000 0.0000 0.5000
Mg: 0.0000 0.0000 0.0000
Te: 0.5000 0.0000 0.0000
O: 0.5000 0.5000 0.5000

- Magnetization: 0.000 μB/f.u.

***

#ii
Below is a geometry-optimized MgTe3O structure, with properties calculated at the PBE level.

Cell lengths 4.8599, 4.8599, 4.8599 Å; angles 90.00, 90.00, 90.00 degrees
Element x y z (fractional)
Te: 0.0000 0.5000 0.0000
Mg: 0.5000 0.5000 0.5000
O: 0.0000 0.0000 0.0000
Te: 0.0000 0.0000 0.5000
Te: 0.5000 0.0000 0.0000

- Magnetization: 0.000 μB/f.u.

***

Which one sits at the bottom of the stability order? #i does.